[1]
The following is a DFT calculation (PBE-GGA) of an optimized crystal structure of TlTcCl2.

Cell lengths 3.390, 3.390, 9.668 Å; angles 90.00, 90.00, 125.07 degrees
Site moments in Bohr magnetons follow the coordinates.
Sites, in units of the cell vectors:
Tc: 0.500 0.500 0.250  0.73
Tl: 0.500 0.500 0.750  -0.01
Cl: 0.000 0.000 0.440  0.02
Cl: 0.000 0.000 0.060  0.02

density of states at the Fermi level = 0.851 states/eV/atom
mass density = 6.82 g/cm³
E above lowest polymorph = 0.1491 eV/atom
space-group type = No. 65


[2]
The following is a DFT calculation (PBE-GGA) of an optimized crystal structure of Nb2SbHPd.

Cell lengths 4.066, 4.066, 4.529 Å; angles 90.00, 90.00, 90.00 degrees
Sites, in units of the cell vectors:
Sb: 0.500 0.500 0.500
Nb: 0.500 0.000 0.000
Nb: 0.000 0.500 0.000
Pd: 0.000 0.000 0.500
H: 0.000 0.000 0.000

density of states at the Fermi level = 0.610 states/eV/atom
mass density = 9.20 g/cm³
space-group type = No. 123


[3]
The following is a DFT calculation (PBE-GGA) of an optimized crystal structure of ZrTc2Br.

Cell lengths 4.619, 4.619, 4.619 Å; angles 60.00, 60.00, 60.00 degrees
Site moments in Bohr magnetons follow the coordinates.
Sites, in units of the cell vectors:
Br: 0.500 0.500 0.500  0.06
Zr: 0.750 0.750 0.750  0.05
Tc: 0.000 0.000 0.000  0.65
Tc: 0.250 0.250 0.250  0.14

density of states at the Fermi level = 1.756 states/eV/atom
mass density = 8.75 g/cm³
E above lowest polymorph = 0.6923 eV/atom
space-group type = No. 216


[4]
The following is a DFT calculation (PBE-GGA) of an optimized crystal structure of LiCa2Pb2.

Cell lengths 4.815, 6.351, 10.474 Å; angles 81.64, 76.71, 67.72 degrees
Sites, in units of the cell vectors:
Ca: 0.322 0.259 0.097
Pb: 0.976 0.172 0.875
Ca: 0.489 0.686 0.336
Pb: 0.147 0.282 0.424
Pb: 0.853 0.718 0.576
Ca: 0.511 0.314 0.664
Pb: 0.024 0.828 0.125
Ca: 0.678 0.741 0.903
Li: 0.220 0.918 0.643
Li: 0.780 0.082 0.357

density of states at the Fermi level = 0.479 states/eV/atom
mass density = 5.79 g/cm³
E above lowest polymorph = 0.0000 eV/atom
space-group type = No. 12


[5]
The following is a DFT calculation (PBE-GGA) of an optimized crystal structure of Pr8Ga2Pt.

Cell lengths 5.086, 6.958, 9.969 Å; angles 102.58, 104.78, 90.00 degrees
Sites, in units of the cell vectors:
Pr: 0.789 0.684 0.578
Pr: 0.211 0.316 0.422
Ga: 0.815 0.252 0.630
Pr: 0.656 0.981 0.311
Ga: 0.185 0.748 0.370
Pt: 0.500 0.000 0.000
Pr: 0.593 0.461 0.186
Pr: 0.344 0.019 0.689
Pr: 0.022 0.780 0.044
Pr: 0.407 0.539 0.814
Pr: 0.978 0.220 0.956

density of states at the Fermi level = 1.000 states/eV/atom
mass density = 7.30 g/cm³
E above lowest polymorph = 0.0000 eV/atom
space-group type = No. 12


[6]
The following is a DFT calculation (PBE-GGA) of an optimized crystal structure of BeZnPb2.

Cell lengths 3.674, 4.960, 4.960 Å; angles 90.00, 90.00, 90.00 degrees
Sites, in units of the cell vectors:
Be: 0.500 0.000 0.500
Pb: 0.000 0.000 0.000
Pb: 0.000 0.500 0.500
Zn: 0.500 0.500 0.000

density of states at the Fermi level = 0.505 states/eV/atom
mass density = 8.98 g/cm³
E above lowest polymorph = 0.2912 eV/atom
space-group type = No. 123


[7]
The following is a DFT calculation (PBE-GGA) of an optimized crystal structure of RbLi2Mo.

Cell lengths 5.486, 5.486, 5.486 Å; angles 60.00, 60.00, 60.00 degrees
Site moments in Bohr magnetons follow the coordinates.
Sites, in units of the cell vectors:
Rb: 0.000 0.000 0.000  0.01
Li: 0.250 0.250 0.250  0.00
Li: 0.750 0.750 0.750  0.00
Mo: 0.500 0.500 0.500  3.49

density of states at the Fermi level = 0.479 states/eV/atom
mass density = 2.78 g/cm³
E above lowest polymorph = 0.0000 eV/atom
space-group type = No. 225


[8]
The following is a DFT calculation (PBE-GGA) of an optimized crystal structure of PmErZnIr.

Cell lengths 4.975, 4.975, 4.975 Å; angles 60.00, 60.00, 60.00 degrees
Sites, in units of the cell vectors:
Er: 0.000 0.000 0.000
Pm: 0.500 0.500 0.500
Ir: 0.750 0.750 0.750
Zn: 0.250 0.250 0.250

density of states at the Fermi level = 0.651 states/eV/atom
mass density = 10.87 g/cm³
space-group type = No. 216


[9]
The following is a DFT calculation (PBE-GGA) of an optimized crystal structure of Ba4DyPb3O12.

Cell lengths 7.570, 7.570, 7.570 Å; angles 109.47, 109.47, 109.47 degrees
Sites, in units of the cell vectors:
O: 0.500 0.750 0.250
O: 0.000 0.746 0.746
Dy: 0.000 0.000 0.000
O: 0.746 0.746 0.000
Ba: 0.000 0.000 0.500
Pb: 0.500 0.500 0.000
O: 0.750 0.500 0.250
Ba: 0.000 0.500 0.000
O: 0.254 0.000 0.254
O: 0.746 0.000 0.746
Pb: 0.500 0.000 0.500
Ba: 0.500 0.500 0.500
Pb: 0.000 0.500 0.500
O: 0.500 0.250 0.750
O: 0.250 0.750 0.500
O: 0.000 0.254 0.254
O: 0.750 0.250 0.500
Ba: 0.500 0.000 0.000
O: 0.254 0.254 0.000
O: 0.250 0.500 0.750

density of states at the Fermi level = 0.896 states/eV/atom
mass density = 7.59 g/cm³
space-group type = No. 229


[10]
The following is a DFT calculation (PBE-GGA) of an optimized crystal structure of Pu2HfNiS5.

Cell lengths 3.693, 8.247, 11.525 Å; angles 90.00, 90.00, 102.94 degrees
Site moments in Bohr magnetons follow the coordinates.
Sites, in units of the cell vectors:
Pu: 0.122 0.244 0.698  5.05
S: 0.340 0.681 0.019  0.00
S: 0.021 0.043 0.022  0.00
Pu: 0.108 0.215 0.346  -5.11
Hf: 0.822 0.644 0.521  0.01
S: 0.694 0.388 0.865  -0.03
S: 0.660 0.319 0.519  0.00
Ni: 0.561 0.122 0.923  -0.05
S: 0.979 0.957 0.522  0.00
Pu: 0.878 0.756 0.198  5.05
Hf: 0.178 0.356 0.021  0.01
Pu: 0.892 0.785 0.846  -5.11
S: 0.499 0.999 0.252  0.01
S: 0.306 0.612 0.365  -0.03
S: 0.693 0.387 0.179  0.01
S: 0.307 0.613 0.679  0.01
Ni: 0.439 0.878 0.423  -0.05
S: 0.501 0.001 0.752  0.01

density of states at the Fermi level = 2.066 states/eV/atom
mass density = 8.60 g/cm³
space-group type = No. 36


[11]
The following is a DFT calculation (PBE-GGA) of an optimized crystal structure of ErScW2N6.

Cell lengths 6.199, 7.397, 7.397 Å; angles 79.93, 71.23, 71.23 degrees
Sites, in units of the cell vectors:
W: 0.312 0.792 0.621
W: 0.688 0.208 0.379
N: 0.637 0.685 0.603
N: 0.863 0.397 0.315
N: 0.654 0.128 0.628
N: 0.832 0.004 0.219
Sc: 0.250 0.270 0.730
N: 0.668 0.781 0.996
W: 0.812 0.621 0.792
N: 0.332 0.219 0.004
N: 0.154 0.628 0.128
N: 0.168 0.996 0.781
N: 0.346 0.872 0.372
N: 0.363 0.315 0.397
N: 0.846 0.372 0.872
W: 0.188 0.379 0.208
N: 0.137 0.603 0.685
Sc: 0.750 0.730 0.270
Er: 0.250 0.905 0.095
Er: 0.750 0.095 0.905

density of states at the Fermi level = 0.000 states/eV/atom
mass density = 7.27 g/cm³
space-group type = No. 15


[12]
The following is a DFT calculation (PBE-GGA) of an optimized crystal structure of Mn2Te6Pt.

Cell lengths 5.752, 6.898, 6.898 Å; angles 120.00, 90.00, 90.00 degrees
Site moments in Bohr magnetons follow the coordinates.
Sites, in units of the cell vectors:
Te: 0.753 0.666 0.666  -0.08
Te: 0.247 0.666 0.000  -0.08
Te: 0.753 0.000 0.334  -0.08
Te: 0.247 0.334 0.334  -0.08
Te: 0.247 0.000 0.666  -0.08
Mn: 0.500 0.667 0.333  3.31
Te: 0.753 0.334 0.000  -0.08
Pt: 0.500 0.000 0.000  0.05
Mn: 0.500 0.333 0.667  3.31

density of states at the Fermi level = 0.426 states/eV/atom
mass density = 7.50 g/cm³
space-group type = No. 162


[13]
The following is a DFT calculation (PBE-GGA) of an optimized crystal structure of PmErBeAl.

Cell lengths 5.031, 5.031, 5.031 Å; angles 60.00, 60.00, 60.00 degrees
Sites, in units of the cell vectors:
Er: 0.750 0.750 0.750
Al: 0.500 0.500 0.500
Pm: 0.250 0.250 0.250
Be: 0.000 0.000 0.000

density of states at the Fermi level = 0.886 states/eV/atom
mass density = 6.42 g/cm³
space-group type = No. 216


[14]
The following is a DFT calculation (PBE-GGA) of an optimized crystal structure of Y2ZrAg.

Cell lengths 3.467, 5.423, 5.423 Å; angles 90.00, 90.00, 90.00 degrees
Sites, in units of the cell vectors:
Y: 0.000 0.500 0.500
Zr: 0.500 0.500 0.000
Y: 0.000 0.000 0.000
Ag: 0.500 0.000 0.500

density of states at the Fermi level = 1.531 states/eV/atom
mass density = 6.14 g/cm³
E above lowest polymorph = 0.1424 eV/atom
space-group type = No. 123


[15]
The following is a DFT calculation (PBE-GGA) of an optimized crystal structure of CeSiNiRu.

Cell lengths 4.312, 3.727, 4.868 Å; angles 112.51, 90.00, 90.00 degrees
Sites, in units of the cell vectors:
Si: 0.000 0.595 0.190
Ru: 0.500 0.477 0.954
Ce: 0.500 0.219 0.437
Ni: 0.000 0.937 0.874

density of states at the Fermi level = 0.411 states/eV/atom
mass density = 7.53 g/cm³
space-group type = No. 38


[16]
The following is a DFT calculation (PBE-GGA) of an optimized crystal structure of RbNaF3.

Cell lengths 4.800, 5.424, 8.448 Å; angles 90.00, 106.40, 90.00 degrees
Site moments in Bohr magnetons follow the coordinates.
Sites, in units of the cell vectors:
F: 0.534 0.945 0.653  0.45
F: 0.881 0.445 0.347  0.45
Rb: 0.667 0.949 0.334  0.00
F: 0.065 0.912 0.130  0.10
F: 0.119 0.945 0.653  0.45
Na: 0.935 0.999 0.869  0.00
Na: 0.065 0.499 0.131  0.00
F: 0.466 0.445 0.347  0.45
F: 0.935 0.412 0.870  0.10
Rb: 0.333 0.449 0.666  0.00

density of states at the Fermi level = 0.713 states/eV/atom
mass density = 2.60 g/cm³
E above lowest polymorph = 0.0252 eV/atom
space-group type = No. 4


[17]
The following is a DFT calculation (PBE-GGA) of an optimized crystal structure of SmTh2AgC.

Cell lengths 5.041, 5.041, 5.061 Å; angles 90.00, 90.00, 90.00 degrees
Sites, in units of the cell vectors:
Ag: 0.500 0.500 0.500
Sm: 0.000 0.000 0.500
Th: 0.000 0.500 0.000
Th: 0.500 0.000 0.000
C: 0.000 0.000 0.000

density of states at the Fermi level = 1.233 states/eV/atom
mass density = 9.48 g/cm³
space-group type = No. 123


[18]
The following is a DFT calculation (PBE-GGA) of an optimized crystal structure of Ta2CoTc.

Cell lengths 6.867, 6.867, 5.589 Å; angles 52.10, 52.10, 90.00 degrees
Sites, in units of the cell vectors:
Co: 0.500 0.500 0.000
Ta: 0.142 0.625 0.250
Tc: 0.750 0.250 0.500
Co: 0.250 0.750 0.500
Ta: 0.608 0.125 0.250
Tc: 0.000 0.000 0.000
Ta: 0.875 0.858 0.750
Ta: 0.375 0.392 0.750

density of states at the Fermi level = 0.764 states/eV/atom
mass density = 13.20 g/cm³
E above lowest polymorph = 0.6961 eV/atom
space-group type = No. 122


[19]
The following is a DFT calculation (PBE-GGA) of an optimized crystal structure of Cs2LiPtBr6.

Cell lengths 7.654, 7.654, 7.670 Å; angles 60.07, 60.07, 90.00 degrees
Sites, in units of the cell vectors:
Pt: 0.000 0.000 0.000
Br: 0.240 0.760 0.000
Br: 0.760 0.240 0.000
Br: 0.237 0.237 0.526
Br: 0.760 0.760 0.000
Br: 0.763 0.763 0.474
Cs: 0.750 0.250 0.500
Cs: 0.250 0.750 0.500
Li: 0.500 0.500 0.000
Br: 0.240 0.240 0.000

density of states at the Fermi level = 0.440 states/eV/atom
mass density = 4.94 g/cm³
E above lowest polymorph = 0.0252 eV/atom
space-group type = No. 139


[20]
The following is a DFT calculation (PBE-GGA) of an optimized crystal structure of CuTc2Cl.

Cell lengths 5.281, 5.281, 5.281 Å; angles 148.90, 129.24, 60.74 degrees
Sites, in units of the cell vectors:
Cl: 0.250 0.750 0.500
Tc: 0.025 0.025 0.000
Tc: 0.475 0.475 0.000
Cu: 0.750 0.250 0.500

density of states at the Fermi level = 1.206 states/eV/atom
mass density = 8.39 g/cm³
E above lowest polymorph = 0.5406 eV/atom
space-group type = No. 71


Number 1: VASP energy -4.12 eV per atom. Number 2: VASP energy -6.78 eV per atom. Number 3: VASP energy -7.08 eV per atom. Number 4: VASP energy -3.14 eV per atom. Number 5: VASP energy -4.97 eV per atom. Number 6: VASP energy -2.59 eV per atom. Number 7: VASP energy -2.74 eV per atom. Number 8: VASP energy -5.44 eV per atom. Number 9: VASP energy -6.10 eV per atom. Number 10: VASP energy -8.68 eV per atom. Number 11: VASP energy -9.65 eV per atom. Number 12: VASP energy -5.05 eV per atom. Number 13: VASP energy -4.29 eV per atom. Number 14: VASP energy -6.05 eV per atom. Number 15: VASP energy -7.01 eV per atom. Number 16: VASP energy -3.71 eV per atom. Number 17: VASP energy -6.41 eV per atom. Number 18: VASP energy -9.88 eV per atom. Number 19: VASP energy -3.05 eV per atom. Number 20: VASP energy -5.95 eV per atom.